1.
Computed, not measured: crystalline RbZn3Ga4 at its relaxed geometry at the PBE level of DFT.

Computed properties:
- Crystal system: tetragonal
- Symmetry: P4/mmm, No. 123
- Energy of formation from the pure elements: -0.011 eV/atom

Lattice parameters (Å, degrees): 4.501 4.501 8.523 90.00 90.00 90.00
Element x y z (fractional)
Ga1 0.500 0.000 0.834
Ga2 0.000 0.500 0.166
Ga3 0.000 0.500 0.834
Ga4 0.500 0.000 0.166
Zn1 0.500 0.500 0.342
Zn2 0.500 0.500 0.658
Zn3 0.000 0.000 0.000
Rb1 0.000 0.000 0.500

2.
Computed, not measured: crystalline LiTa2Ir at its relaxed geometry at the PBE level of DFT.

Computed properties:
- Crystal system: monoclinic
- Symmetry: P2/m, No. 10
- Energy of formation from the pure elements: -0.070 eV/atom

Lattice parameters (Å, degrees): 4.250 2.815 5.524 75.07 90.00 90.00
Element x y z (fractional)
Li1 0.500 0.750 0.750
Ir1 0.500 0.250 0.250
Ta1 0.000 0.524 0.495
Ta2 0.000 0.976 0.005

3.
Computed, not measured: crystalline CrHg2I at its relaxed geometry at the PBE level of DFT.

Computed properties:
- Crystal system: triclinic
- Energy relative to the elements, uncorrected: 0.162 eV/atom
- Symmetry: P1, No. 1
- Energy relative to the lowest polymorph listed for this composition: 0.0395 eV/atom

Lattice parameters (Å, degrees): 3.893 6.810 9.620 67.33 89.58 89.00
Site moments in Bohr magnetons follow the coordinates.
Element x y z (fractional)
I1 0.684 0.735 0.045  -0.02
I2 0.714 0.349 0.807  0.00
Hg1 0.203 0.342 0.456  0.04
Hg2 0.700 0.759 0.371  0.03
Hg3 0.190 0.171 0.196  0.02
Hg4 0.694 0.950 0.625  0.05
Cr1 0.185 0.980 0.840  3.94
Cr2 0.202 0.638 0.614  3.95

4.
Computed, not measured: crystalline Rb3Sm3HfTe8 at its relaxed geometry at the PBE level of DFT.

Computed properties:
- Crystal system: trigonal
- Energy relative to the elements, uncorrected: -1.271 eV/atom
- Symmetry: R-3m, No. 166

Lattice parameters (Å, degrees): 8.938 8.935 10.185 116.03 90.00 120.01
Element x y z (fractional)
Te1 0.752 0.973 0.693
Te2 0.248 0.027 0.307
Te3 0.221 0.973 0.693
Te4 0.221 0.441 0.693
Te5 0.779 0.027 0.307
Te6 0.265 0.530 0.296
Te7 0.735 0.470 0.704
Te8 0.779 0.559 0.307
Sm1 0.000 0.500 0.500
Sm2 0.500 0.500 0.500
Sm3 0.500 0.000 0.500
Hf1 0.000 0.000 0.500
Rb1 0.000 0.500 0.000
Rb2 0.000 0.000 0.000
Rb3 0.500 0.500 0.000

5.
Computed, not measured: crystalline BaSr2Si at its relaxed geometry at the PBE level of DFT.

Computed properties:
- Crystal system: tetragonal
- Energy relative to the elements, uncorrected: 0.059 eV/atom
- Symmetry: I-4m2, No. 119

Lattice parameters (Å, degrees): 6.434 6.434 6.434 131.61 131.61 70.84
Element x y z (fractional)
Sr1 0.000 0.000 0.000
Sr2 0.250 0.750 0.500
Ba1 0.500 0.500 0.000
Si1 0.750 0.250 0.500

6.
Computed, not measured: crystalline Ti4Re2Tc3 at its relaxed geometry at the PBE level of DFT.

Computed properties:
- Crystal system: trigonal
- Symmetry: P-3m1, No. 164
- Energy of formation from the pure elements: -0.452 eV/atom

Lattice parameters (Å, degrees): 4.358 4.358 8.222 90.00 90.00 60.00
Element x y z (fractional)
Tc1 0.000 0.000 0.000
Tc2 0.333 0.333 0.450
Tc3 0.667 0.667 0.550
Re1 0.667 0.667 0.229
Re2 0.333 0.333 0.771
Ti1 0.333 0.333 0.109
Ti2 0.667 0.667 0.891
Ti3 0.000 0.000 0.674
Ti4 0.000 0.000 0.326

7.
Computed, not measured: crystalline V3BOs at its relaxed geometry at the PBE level of DFT.

Computed properties:
- Crystal system: cubic
- Symmetry: Pm-3m, No. 221
- Energy of formation from the pure elements: 1.820 eV/atom
- Energy relative to the lowest polymorph listed for this composition: 1.7553 eV/atom

Lattice parameters (Å, degrees): 4.534 4.534 4.534 90.00 90.00 90.00
Element x y z (fractional)
Os1 0.000 0.000 0.000
V1 0.000 0.000 0.500
V2 0.000 0.500 0.000
V3 0.500 0.000 0.000
B1 0.500 0.500 0.500

8.
Computed, not measured: crystalline RbHg3Te at its relaxed geometry at the PBE level of DFT.

Computed properties:
- Crystal system: cubic
- Energy relative to the elements, uncorrected: 0.258 eV/atom
- Symmetry: Pm-3m, No. 221
- Energy relative to the lowest polymorph listed for this composition: 0.2722 eV/atom

Lattice parameters (Å, degrees): 6.676 6.676 6.676 90.00 90.00 90.00
Site moments in Bohr magnetons follow the coordinates.
Element x y z (fractional)
Hg1 0.500 0.000 0.000  0.00
Hg2 0.000 0.000 0.500  0.00
Hg3 0.000 0.500 0.000  0.01
Rb1 0.000 0.000 0.000  0.00
Te1 0.500 0.500 0.500  0.48

9.
Computed, not measured: crystalline YSbPbI2 at its relaxed geometry at the PBE level of DFT.

Computed properties:
- Crystal system: tetragonal
- Energy relative to the elements, uncorrected: 0.207 eV/atom
- Symmetry: P4/mmm, No. 123
- Energy relative to the lowest polymorph listed for this composition: 0.5260 eV/atom

Lattice parameters (Å, degrees): 5.913 5.913 6.055 90.00 90.00 90.00
Site moments in Bohr magnetons follow the coordinates.
Element x y z (fractional)
Y1 0.500 0.500 0.500  0.19
I1 0.500 0.000 0.000  -0.01
I2 0.000 0.500 0.000  -0.01
Pb1 0.000 0.000 0.000  0.00
Sb1 0.000 0.000 0.500  -0.01

10.
Computed, not measured: crystalline ZnOs3W at its relaxed geometry at the PBE level of DFT.

Computed properties:
- Crystal system: cubic
- Symmetry: Pm-3m, No. 221
- Energy of formation from the pure elements: 1.995 eV/atom
- Energy relative to the lowest polymorph listed for this composition: 0.0000 eV/atom

Lattice parameters (Å, degrees): 4.388 4.388 4.388 90.00 90.00 90.00
Element x y z (fractional)
Zn1 0.000 0.000 0.000
Os1 0.000 0.000 0.500
Os2 0.500 0.000 0.000
Os3 0.000 0.500 0.000
W1 0.500 0.500 0.500

11.
Computed, not measured: crystalline BeNbAg at its relaxed geometry at the PBE level of DFT.

Computed properties:
- Crystal system: hexagonal
- Symmetry: P6_3/mmc, No. 194
- Energy of formation from the pure elements: 0.384 eV/atom
- Energy relative to the lowest polymorph listed for this composition: 0.4003 eV/atom

Lattice parameters (Å, degrees): 4.445 4.445 5.313 90.00 90.00 120.00
Element x y z (fractional)
Nb1 0.667 0.333 0.250
Nb2 0.333 0.667 0.750
Be1 0.667 0.333 0.750
Be2 0.333 0.667 0.250
Ag1 0.000 0.000 0.500
Ag2 0.000 0.000 0.000

12.
Computed, not measured: crystalline LiTlRhAu2 at its relaxed geometry at the PBE level of DFT.

Computed properties:
- Crystal system: tetragonal
- Symmetry: P4/mmm, No. 123
- Energy of formation from the pure elements: 0.319 eV/atom

Lattice parameters (Å, degrees): 4.553 4.553 4.386 90.00 90.00 90.00
Element x y z (fractional)
Li1 0.000 0.000 0.000
Tl1 0.500 0.500 0.500
Au1 0.000 0.500 0.000
Au2 0.500 0.000 0.000
Rh1 0.000 0.000 0.500

Calculated values (Ha/atom) of energy for the records, taken in order: -0.078, -0.319, -0.102, -0.174, -0.096, -0.374, -0.266, -0.027, -0.120, -0.279, -0.190, -0.122.
Calculated values (μB/f.u.) of total moment for the records, taken in order: 0.00, 0.00, 4.66, 0.00, 0.00, 0.00, 0.00, 1.00, 0.30, 0.00, 0.00, 0.00.